{
  "formula": "Ce2YGe3Pt4",
  "functional": "PBE",
  "state": "optimized geometry",
  "mass_density_g_cm3": 11.01,
  "e_tot_ev_per_cell": -65.57,
  "volume_a3_per_atom": 20.63,
  "e_form_mev_per_atom": -922,
  "lattice": [[-2.290, -0.159, -3.582], [2.391, -3.235, -1.384], [-7.159, -7.389, 4.905]],
  "species": ["Pt", "Pt", "Pt", "Pt", "Ge", "Ge", "Ge", "Ce", "Ce", "Y"],
  "frac_coords": [[0.500, 0.000, 0.660], [0.500, 0.500, 0.000], [0.000, 0.500, 0.340], [0.000, 0.000, 0.000], [0.500, 0.000, 0.877], [0.000, 0.000, 0.500], [0.000, 0.500, 0.123], [0.500, 0.000, 0.225], [0.000, 0.500, 0.775], [0.500, 0.500, 0.500]]
}